1.
Material: Mg2SnAs
Method: DFT, PBE
State: relaxed

Polymorph energy (0 for the lowest one) in meV/atom: 109.9
Formation energy in eV per formula unit: -0.594
Calculated total energy in eV per atom: -3.11
Calculated volume in Å³/atom: 23.786
Fermi-level density of states in states/eV per cell: 4.810

Cell lengths 6.341, 6.341, 6.341 Å; angles 104.06, 104.06, 120.93 degrees
Fractional positions:
1 Mg 0.077 0.625 0.952
2 Mg 0.375 0.327 0.452
3 Mg 0.673 0.125 0.048
4 Mg 0.875 0.923 0.548
5 Sn 0.250 0.750 0.500
6 Sn 0.500 0.500 0.000
7 As 0.000 0.000 0.000
8 As 0.750 0.250 0.500



2.
Material: UAlS6
Method: DFT, PBE
State: relaxed

E_form (uncorrected) in eV/atom: -0.434
Calculated total energy in eV per atom: -5.41
Calculated volume in Å³/atom: 28.534
Fermi-level density of states in states/eV per cell: 6.603

Cell lengths 6.860, 6.860, 6.860 Å; angles 60.00, 60.00, 60.00 degrees
Fractional positions:
1 U 0.000 0.000 0.000
2 Al 0.500 0.500 0.500
3 S 0.258 0.258 0.742
4 S 0.258 0.742 0.258
5 S 0.258 0.742 0.742
6 S 0.742 0.258 0.258
7 S 0.742 0.258 0.742
8 S 0.742 0.742 0.258